Here is a relaxed structure of Mg3Tl2In3 from Alexandria via LeMat-Bulk. Energies are from PBE-GGA.

Values from the calculation:
The energy of formation is -0.0102 eV per atom. Its density of states at the Fermi level is 6.343 states/eV per cell. The total energy is -2.227 eV/atom.

abc: 8.7522 8.7522 9.3377
angles: 90.00 90.00 120.00
Space group R32 (No. 155, hexagonal axes)
Unique sites:
Mg 0.0000 0.7010 0.0000 [9 per cell]
Tl 0.0000 0.0000 0.2018 [6 per cell]
In 0.0000 0.2382 0.5000 [9 per cell]